First-principles (PBE) data for an optimized crystal structure of SrSm2, as listed in Alexandria via LeMat-Bulk.

Computed properties:
- Polymorph energy (0 for the lowest one): 0.0 kJ/mol of formula units
- SG: I4/mmm (139)
- Volume: 38.91 Å³/atom

Unit cell a=8.607 b=8.607 c=8.607 alpha=154.65 beta=154.65 gamma=36.15
Positions (direct):
Sr 0.000 0.000 0.000
Sm 0.321 0.321 0.000
Sm 0.679 0.679 0.000

---

First-principles (PBE) data for an optimized crystal structure of UP6Pd12, as listed in Alexandria via LeMat-Bulk.

Computed properties:
- Uncorrected energy: -5.94 eV/atom
- SG: R-3m (166)
- Volume: 16.23 Å³/atom

Unit cell a=6.962 b=6.962 c=6.962 alpha=102.66 beta=102.66 gamma=102.66
Positions (direct):
U 0.000 0.000 0.000
P 0.233 0.233 0.677
P 0.233 0.677 0.233
P 0.323 0.767 0.767
P 0.677 0.233 0.233
P 0.767 0.323 0.767
P 0.767 0.767 0.323
Pd 0.127 0.500 0.873
Pd 0.127 0.873 0.500
Pd 0.180 0.450 0.450
Pd 0.450 0.180 0.450
Pd 0.450 0.450 0.180
Pd 0.500 0.127 0.873
Pd 0.500 0.873 0.127
Pd 0.550 0.550 0.820
Pd 0.550 0.820 0.550
Pd 0.820 0.550 0.550
Pd 0.873 0.127 0.500
Pd 0.873 0.500 0.127

---

First-principles (PBE) data for an optimized crystal structure of Na4CeU3Te8, as listed in Alexandria via LeMat-Bulk.

Computed properties:
- SG: R-3m (166)
- E_form (uncorrected): -0.892 eV/atom
- Volume: 32.63 Å³/atom

Unit cell a=9.192 b=9.192 c=9.192 alpha=57.85 beta=57.85 gamma=57.85
Positions (direct):
Na 0.000 0.000 0.000
Na 0.000 0.500 0.500
Na 0.500 0.000 0.500
Na 0.500 0.500 0.000
Ce 0.500 0.500 0.500
U 0.000 0.000 0.500
U 0.000 0.500 0.000
U 0.500 0.000 0.000
Te 0.242 0.748 0.748
Te 0.245 0.245 0.245
Te 0.252 0.252 0.758
Te 0.252 0.758 0.252
Te 0.748 0.242 0.748
Te 0.748 0.748 0.242
Te 0.755 0.755 0.755
Te 0.758 0.252 0.252

---

First-principles (PBE) data for an optimized crystal structure of Hf6Pd12Au, as listed in Alexandria via LeMat-Bulk.

Computed properties:
- Uncorrected energy: -7.18 eV/atom
- SG: R-3 (148)
- Volume: 17.71 Å³/atom

Unit cell a=6.965 b=6.965 c=6.965 alpha=93.02 beta=93.02 gamma=93.02
Positions (direct):
Hf 0.195 0.746 0.356
Hf 0.254 0.644 0.805
Hf 0.356 0.195 0.746
Hf 0.644 0.805 0.254
Hf 0.746 0.356 0.195
Hf 0.805 0.254 0.644
Pd 0.033 0.963 0.708
Pd 0.037 0.292 0.967
Pd 0.128 0.365 0.460
Pd 0.292 0.967 0.037
Pd 0.365 0.460 0.128
Pd 0.460 0.128 0.365
Pd 0.540 0.872 0.635
Pd 0.635 0.540 0.872
Pd 0.708 0.033 0.963
Pd 0.872 0.635 0.540
Pd 0.963 0.708 0.033
Pd 0.967 0.037 0.292
Au 0.500 0.500 0.500